No. 1
Below is an optimized crystal structure of TeSeI2N, with properties calculated at the GGA-PBE level.

Lattice parameters (Å, degrees): 6.165 6.165 3.698 90.00 90.00 90.00
Space group P4/mmm (No. 123)
Asymmetric unit:
Te (0.000, 0.000, 0.000)
Se (0.500, 0.500, 0.500)
I (0.000, 0.500, 0.500)
N (0.500, 0.500, 0.000)

Output
Energy relative to the lowest polymorph listed for this composition   0 meV per atom
Magnetization   0.00 μB/cell

---

No. 2
Below is an optimized crystal structure of TiSeI2N, with properties calculated at the GGA-PBE level.

Lattice parameters (Å, degrees): 5.689 5.689 3.754 90.00 90.00 90.00
Space group P4/mmm (No. 123)
Asymmetric unit:
Ti (0.000, 0.000, 0.000)
Se (0.500, 0.500, 0.500)
I (0.000, 0.500, 0.000)
N (0.000, 0.000, 0.500)

Output
Energy relative to the lowest polymorph listed for this composition   0 meV per atom
Magnetization   0.00 μB/cell

---

No. 3
Below is an optimized crystal structure of TiSeI2N, with properties calculated at the GGA-PBE level.

Lattice parameters (Å, degrees): 5.979 5.979 3.698 90.00 90.00 90.00
Space group P4/mmm (No. 123)
Asymmetric unit:
Ti (0.000, 0.000, 0.000)
Se (0.500, 0.500, 0.500)
I (0.000, 0.500, 0.500)
N (0.500, 0.500, 0.000)

Output
Energy relative to the lowest polymorph listed for this composition   858 meV per atom
Magnetization   0.77 μB/cell

---

No. 4
Below is an optimized crystal structure of VSe2IN, with properties calculated at the GGA-PBE level.

Lattice parameters (Å, degrees): 5.455 5.455 3.907 90.00 90.00 90.00
Space group P4/mmm (No. 123)
Asymmetric unit:
V (0.000, 0.000, 0.000)
Se (0.000, 0.500, 0.500)
I (0.500, 0.500, 0.500)
N (0.500, 0.500, 0.000)

Output
Energy relative to the lowest polymorph listed for this composition   1150 meV per atom
Magnetization   2.90 μB/cell

---

No. 5
Below is an optimized crystal structure of VSe2IN, with properties calculated at the GGA-PBE level.

Lattice parameters (Å, degrees): 5.140 5.140 3.686 90.00 90.00 90.00
Space group P4/mmm (No. 123)
Asymmetric unit:
V (0.000, 0.000, 0.000)
Se (0.000, 0.500, 0.000)
I (0.500, 0.500, 0.500)
N (0.000, 0.000, 0.500)

Output
Energy relative to the lowest polymorph listed for this composition   0 meV per atom
Magnetization   0.00 μB/cell

---

No. 6
Below is an optimized crystal structure of WSeI2N, with properties calculated at the GGA-PBE level.

Lattice parameters (Å, degrees): 5.927 5.927 3.635 90.00 90.00 90.00
Space group P4/mmm (No. 123)
Asymmetric unit:
W (0.000, 0.000, 0.000)
Se (0.500, 0.500, 0.500)
I (0.000, 0.500, 0.500)
N (0.500, 0.500, 0.000)

Output
Energy relative to the lowest polymorph listed for this composition   1185 meV per atom
Magnetization   3.79 μB/cell

---

No. 7
Below is an optimized crystal structure of WSeI2N, with properties calculated at the GGA-PBE level.

Lattice parameters (Å, degrees): 5.525 5.525 3.856 90.00 90.00 90.00
Space group P4/mmm (No. 123)
Asymmetric unit:
W (0.000, 0.000, 0.000)
Se (0.500, 0.500, 0.500)
I (0.000, 0.500, 0.000)
N (0.000, 0.000, 0.500)

Output
Energy relative to the lowest polymorph listed for this composition   0 meV per atom
Magnetization   0.00 μB/cell

---

No. 8
Below is an optimized crystal structure of WSeIN2, with properties calculated at the GGA-PBE level.

Lattice parameters (Å, degrees): 3.897 3.897 7.251 90.00 90.00 90.00
Space group P4/mmm (No. 123)
Asymmetric unit:
W (0.000, 0.000, 0.000)
Se (0.500, 0.500, 0.000)
I (0.500, 0.500, 0.500)
N (0.000, 0.500, 0.500)

Output
Energy relative to the lowest polymorph listed for this composition   1793 meV per atom
Magnetization   3.73 μB/cell